## SrAc2CrO5 (PBE+U)

Data for an optimized crystal structure of SrAc2CrO5.

a = 7.063 Å, b = 7.063 Å, c = 6.055 Å
α = 90.00°, β = 90.00°, γ = 90.00°
Atoms (fractional coordinates):
1 Sr 0.000 0.000 0.000
2 Sr 0.500 0.500 0.000
3 Ac 0.174 0.326 0.500
4 Ac 0.326 0.826 0.500
5 Ac 0.674 0.174 0.500
6 Ac 0.826 0.674 0.500
7 Cr 0.000 0.500 0.000
8 Cr 0.500 0.000 0.000
9 O 0.000 0.000 0.500
10 O 0.143 0.643 0.234
11 O 0.143 0.643 0.766
12 O 0.357 0.143 0.234
13 O 0.357 0.143 0.766
14 O 0.500 0.500 0.500
15 O 0.643 0.857 0.234
16 O 0.643 0.857 0.766
17 O 0.857 0.357 0.234
18 O 0.857 0.357 0.766

Summary:
Raw total energy ... -7.411 eV per atom
Total magnetic moment ... 4.00 μB per formula unit
Crystal system ... tetragonal